PBE Li2Mg5Ga4, relaxed; SG = C2/m (12); excess energy over the best structure of this formula in the dataset = 17 meV/atom; crystal system = monoclinic; ΔE_f = -0.117 eV/atom
1.0
9.7435 -1.6976 0.0000
9.7435 1.6976 0.0000
-0.6866 0.0000 6.5718
Li Mg Ga
2 5 4
Direct
0.0767 0.0767 0.1534
0.9233 0.9233 0.8466
0.0000 0.0000 0.5000
0.3184 0.3184 0.0166
0.3670 0.3670 0.4802
0.6330 0.6330 0.5198
0.6816 0.6816 0.9834
0.2253 0.2253 0.3328
0.4613 0.4613 0.1622
0.5387 0.5387 0.8378
0.7747 0.7747 0.6672